## Tb6Sm2Er3Th (PBE)

Data for a relaxed structure of Tb6Sm2Er3Th.

Summary:
Energy of formation in meV/atom: 29
Theoretical density in g cm⁻³: 8.612
Magnetic moment in μB/cell: 0.0

```
Tb6Sm2Er3Th
1.0
6.169 0.003 0.018
-3.081 5.345 0.018
-1.061 -1.838 11.609
Tb Sm Th Er
6 2 1 3
direct
0.415 0.085 0.252 Tb
0.245 0.245 0.748 Tb
0.585 0.915 0.748 Tb
0.915 0.585 0.748 Tb
0.085 0.415 0.252 Tb
0.755 0.755 0.252 Tb
0.333 0.667 0.000 Sm
0.667 0.333 0.000 Sm
0.000 0.000 0.000 Th
0.167 0.833 0.500 Er
0.500 0.500 0.500 Er
0.833 0.167 0.500 Er
```

=====

## Tb2Sm6Er3Th (PBE)

Data for a relaxed structure of Tb2Sm6Er3Th.

Summary:
Energy of formation in meV/atom: 31
Theoretical density in g cm⁻³: 8.311
Magnetic moment in μB/cell: 0.0

```
Tb2Sm6Er3Th
1.0
6.207 0.001 0.021
-3.101 5.377 0.021
-1.076 -1.862 11.680
Sm Er Tb Th
6 3 2 1
direct
0.084 0.414 0.251 Sm
0.586 0.916 0.749 Sm
0.916 0.586 0.749 Sm
0.246 0.246 0.750 Sm
0.754 0.754 0.250 Sm
0.414 0.084 0.251 Sm
0.833 0.167 0.500 Er
0.500 0.500 0.500 Er
0.167 0.833 0.500 Er
0.333 0.667 0.000 Tb
0.667 0.333 0.000 Tb
0.000 0.000 0.000 Th
```

=====

## Tb6SmErTh2 (PBE)

Data for a relaxed structure of Tb6SmErTh2.

Summary:
Energy of formation in meV/atom: 148
Theoretical density in g cm⁻³: 8.817
Magnetic moment in μB/cell: 0.0

```
Tb6SmErTh2
1.0
9.383 -2.472 -2.565
0.715 8.413 -1.968
0.715 -2.278 8.334
Tb Sm Th Er
12 2 4 2
direct
0.616 0.489 0.693 Tb
0.384 0.511 0.307 Tb
0.051 0.111 0.737 Tb
0.321 0.980 0.431 Tb
0.821 0.431 0.980 Tb
0.551 0.737 0.111 Tb
0.949 0.889 0.263 Tb
0.679 0.020 0.569 Tb
0.884 0.307 0.511 Tb
0.449 0.263 0.889 Tb
0.116 0.693 0.489 Tb
0.179 0.569 0.020 Tb
0.250 0.990 0.010 Sm
0.750 0.010 0.990 Sm
0.542 0.182 0.277 Th
0.958 0.723 0.818 Th
0.458 0.818 0.723 Th
0.042 0.277 0.182 Th
0.750 0.595 0.405 Er
0.250 0.405 0.595 Er
```

=====

## Tb2SmEr2Th2 (PBE)

Data for a relaxed structure of Tb2SmEr2Th2.

Summary:
Energy of formation in meV/atom: 138
Theoretical density in g cm⁻³: 9.361
Magnetic moment in μB/cell: 0.0

```
Tb2SmEr2Th2
1.0
-0.239 -5.879 -0.749
5.343 3.157 -3.002
-6.164 -1.173 11.174
Tb Er Th Sm
2 2 2 1
direct
0.265 0.529 0.189 Tb
0.735 0.471 0.811 Tb
0.570 0.140 0.924 Er
0.430 0.860 0.076 Er
0.165 0.330 0.376 Th
0.835 0.670 0.624 Th
0.000 0.000 0.500 Sm
```

=====

## TbSmEr2Th (PBE)

Data for a relaxed structure of TbSmEr2Th.

Summary:
Energy of formation in meV/atom: 325
Theoretical density in g cm⁻³: 8.549
Magnetic moment in μB/cell: 0.0

```
TbSmEr2Th
1.0
-3.223 5.532 -0.638
-7.378 -4.248 0.435
0.852 1.201 6.113
Th Sm Er Tb
2 2 4 2
direct
0.446 0.000 0.750 Th
0.554 0.000 0.250 Th
0.826 0.500 0.250 Sm
0.174 0.500 0.750 Sm
0.315 0.312 0.201 Er
0.315 0.688 0.299 Er
0.685 0.312 0.701 Er
0.685 0.688 0.799 Er
0.000 0.000 0.500 Tb
0.000 0.000 0.000 Tb
```

=====

## Tb2Sm4ErTh (PBE)

Data for a relaxed structure of Tb2Sm4ErTh.

Summary:
Energy of formation in meV/atom: 139
Theoretical density in g cm⁻³: 8.345
Magnetic moment in μB/cell: 0.0

```
Tb2Sm4ErTh
1.0
6.011 0.000 0.000
0.000 5.703 1.893
0.000 3.412 8.787
Tb Sm Th Er
2 4 1 1
direct
0.500 0.000 0.500 Tb
0.000 0.000 0.000 Tb
0.500 0.751 0.249 Sm
0.500 0.249 0.751 Sm
0.000 0.251 0.248 Sm
0.000 0.749 0.752 Sm
0.500 0.500 0.000 Th
0.000 0.500 0.500 Er
```

=====

## Tb2SmEr4Th (PBE)

Data for a relaxed structure of Tb2SmEr4Th.

Summary:
Energy of formation in meV/atom: 29
Theoretical density in g cm⁻³: 9.012
Magnetic moment in μB/cell: 0.0

```
Tb2SmEr4Th
1.0
5.048 0.000 0.000
0.000 4.925 1.051
0.000 2.846 10.756
Er Sm Tb Th
4 1 2 1
direct
0.000 0.247 0.253 Er
0.500 0.254 0.747 Er
0.500 0.746 0.253 Er
0.000 0.753 0.747 Er
0.500 0.500 0.000 Sm
0.000 0.000 0.000 Tb
0.500 0.000 0.500 Tb
0.000 0.500 0.500 Th
```

=====

## Tb5Sm2ErTh (PBE)

Data for a relaxed structure of Tb5Sm2ErTh.

Summary:
Energy of formation in meV/atom: 160
Theoretical density in g cm⁻³: 8.224
Magnetic moment in μB/cell: 0.0

```
Tb5Sm2ErTh
1.0
-0.499 -4.377 -3.658
-3.589 -4.020 9.780
-9.088 2.845 -2.166
Tb Sm Th Er
10 4 2 2
direct
0.730 0.459 0.827 Tb
0.530 0.060 0.243 Tb
0.695 0.390 0.217 Tb
0.470 0.940 0.743 Tb
0.270 0.541 0.327 Tb
0.015 0.029 0.015 Tb
0.397 0.794 0.042 Tb
0.305 0.610 0.717 Tb
0.985 0.971 0.515 Tb
0.603 0.206 0.542 Tb
0.870 0.740 0.210 Sm
0.115 0.229 0.327 Sm
0.885 0.771 0.827 Sm
0.130 0.260 0.710 Sm
0.404 0.808 0.425 Th
0.596 0.192 0.925 Th
0.190 0.380 0.017 Er
0.810 0.620 0.517 Er
```

=====

## TbSm6Er3Th2 (PBE)

Data for a relaxed structure of TbSm6Er3Th2.

Summary:
Energy of formation in meV/atom: 37
Theoretical density in g cm⁻³: 8.602
Magnetic moment in μB/cell: 0.0

```
TbSm6Er3Th2
1.0
-0.383 0.956 -6.120
-3.561 -4.313 2.689
-7.053 9.135 2.919
Sm Tb Er Th
6 1 3 2
direct
0.083 0.420 0.249 Sm
0.917 0.580 0.751 Sm
0.253 0.253 0.751 Sm
0.580 0.917 0.751 Sm
0.747 0.747 0.249 Sm
0.420 0.083 0.249 Sm
0.000 0.000 0.000 Tb
0.833 0.167 0.500 Er
0.500 0.500 0.500 Er
0.167 0.833 0.500 Er
0.667 0.333 0.000 Th
0.333 0.667 0.000 Th
```

=====

## TbSm6Er2Th3 (PBE)

Data for a relaxed structure of TbSm6Er2Th3.

Summary:
Energy of formation in meV/atom: 36
Theoretical density in g cm⁻³: 8.834
Magnetic moment in μB/cell: 0.0

```
TbSm6Er2Th3
1.0
-2.218 2.370 -5.305
-2.226 -5.390 2.162
-6.730 6.819 7.079
Sm Tb Th Er
6 1 3 2
direct
0.084 0.418 0.253 Sm
0.750 0.750 0.253 Sm
0.250 0.250 0.747 Sm
0.418 0.084 0.253 Sm
0.582 0.916 0.747 Sm
0.916 0.582 0.747 Sm
0.000 0.000 0.000 Tb
0.500 0.500 0.500 Th
0.167 0.833 0.500 Th
0.833 0.167 0.500 Th
0.333 0.667 0.000 Er
0.667 0.333 0.000 Er
```

=====

## Tb4Sm2ErTh (PBE)

Data for a relaxed structure of Tb4Sm2ErTh.

Summary:
Energy of formation in meV/atom: 32
Theoretical density in g cm⁻³: 8.596
Magnetic moment in μB/cell: 0.0

```
Tb4Sm2ErTh
1.0
5.070 0.000 0.000
0.000 4.882 1.299
0.000 2.287 11.033
Tb Sm Er Th
4 2 1 1
direct
0.000 0.752 0.748 Tb
0.500 0.252 0.748 Tb
0.500 0.748 0.252 Tb
0.000 0.248 0.252 Tb
0.000 0.000 0.000 Sm
0.500 0.000 0.500 Sm
0.500 0.500 0.000 Er
0.000 0.500 0.500 Th
```

=====

## Tb3SmErTh (PBE)

Data for a relaxed structure of Tb3SmErTh.

Summary:
Energy of formation in meV/atom: 26
Theoretical density in g cm⁻³: 8.832
Magnetic moment in μB/cell: 0.0

```
Tb3SmErTh
1.0
-4.520 -1.306 -1.857
0.864 -7.315 3.043
-4.685 7.236 6.311
Er Tb Sm Th
2 6 2 2
direct
0.250 0.128 0.628 Er
0.750 0.872 0.372 Er
0.750 0.868 0.044 Tb
0.750 0.383 0.207 Tb
0.250 0.617 0.793 Tb
0.250 0.627 0.457 Tb
0.250 0.132 0.956 Tb
0.750 0.373 0.543 Tb
0.750 0.876 0.708 Sm
0.250 0.124 0.292 Sm
0.750 0.379 0.878 Th
0.250 0.621 0.122 Th
```

=====

## Tb6Sm3Er2Th (PBE)

Data for a relaxed structure of Tb6Sm3Er2Th.

Summary:
Energy of formation in meV/atom: 21
Theoretical density in g cm⁻³: 8.470
Magnetic moment in μB/cell: 0.0

```
Tb6Sm3Er2Th
1.0
-5.992 0.965 1.177
3.571 -2.755 4.228
3.388 11.005 2.800
Sm Tb Er Th
3 6 2 1
direct
0.167 0.833 0.500 Sm
0.500 0.500 0.500 Sm
0.833 0.167 0.500 Sm
0.587 0.917 0.753 Tb
0.917 0.587 0.753 Tb
0.247 0.247 0.753 Tb
0.083 0.413 0.247 Tb
0.413 0.083 0.247 Tb
0.753 0.753 0.247 Tb
0.333 0.667 0.000 Er
0.667 0.333 0.000 Er
0.000 0.000 0.000 Th
```

=====

## TbSm2Er5Th (PBE)

Data for a relaxed structure of TbSm2Er5Th.

Summary:
Energy of formation in meV/atom: 299
Theoretical density in g cm⁻³: 8.849
Magnetic moment in μB/cell: 0.0

```
TbSm2Er5Th
1.0
-2.502 -7.556 3.489
5.480 -4.238 -5.247
3.983 6.499 6.108
Sm Er Th Tb
4 10 2 2
direct
0.885 0.615 0.000 Sm
0.385 0.885 0.000 Sm
0.115 0.385 0.000 Sm
0.615 0.115 0.000 Sm
0.426 0.350 0.276 Er
0.000 0.000 0.000 Er
0.350 0.850 0.276 Er
0.650 0.150 0.724 Er
0.574 0.650 0.724 Er
0.850 0.926 0.276 Er
0.074 0.574 0.724 Er
0.500 0.500 0.000 Er
0.926 0.426 0.276 Er
0.150 0.074 0.724 Er
0.250 0.250 0.500 Th
0.750 0.750 0.500 Th
0.250 0.750 0.500 Tb
0.750 0.250 0.500 Tb
```

=====

## Tb2SmErTl4 (PBE)

Data for a relaxed structure of Tb2SmErTl4.

Summary:
Energy of formation in meV/atom: -346
Theoretical density in g cm⁻³: 10.861
Magnetic moment in μB/cell: 0.0

```
Tb2SmErTl4
1.0
-2.375 2.002 4.406
1.290 -1.924 4.868
6.030 6.073 3.788
Sm Tb Er Tl
1 2 1 4
direct
0.000 0.000 0.000 Sm
0.249 0.249 0.252 Tb
0.751 0.751 0.748 Tb
0.500 0.500 0.500 Er
0.376 0.376 0.871 Tl
0.126 0.126 0.622 Tl
0.874 0.874 0.378 Tl
0.624 0.624 0.129 Tl
```

=====

## Tb6Sm3Er2Tl (PBE)

Data for a relaxed structure of Tb6Sm3Er2Tl.

Summary:
Energy of formation in meV/atom: -10
Theoretical density in g cm⁻³: 8.587
Magnetic moment in μB/cell: 0.0

```
Tb6Sm3Er2Tl
1.0
-1.741 -1.803 5.618
-0.394 -3.896 -4.745
11.377 -1.753 1.832
Er Sm Tl Tb
2 3 1 6
direct
0.666 0.334 0.000 Er
0.334 0.666 0.000 Er
0.167 0.833 0.500 Sm
0.500 0.500 0.500 Sm
0.833 0.167 0.500 Sm
0.000 0.000 0.000 Tl
0.919 0.591 0.756 Tb
0.591 0.919 0.756 Tb
0.081 0.409 0.244 Tb
0.752 0.752 0.246 Tb
0.409 0.081 0.244 Tb
0.248 0.248 0.754 Tb
```

=====

## Tb6Sm2Er3Tl (PBE)

Data for a relaxed structure of Tb6Sm2Er3Tl.

Summary:
Energy of formation in meV/atom: -24
Theoretical density in g cm⁻³: 8.772
Magnetic moment in μB/cell: 0.0

```
Tb6Sm2Er3Tl
1.0
-3.121 -1.109 5.122
1.820 -4.628 -3.532
10.321 1.317 5.358
Er Sm Tb Tl
3 2 6 1
direct
0.167 0.833 0.500 Er
0.500 0.500 0.500 Er
0.833 0.167 0.500 Er
0.666 0.334 0.000 Sm
0.334 0.666 0.000 Sm
0.245 0.245 0.748 Tb
0.412 0.083 0.251 Tb
0.755 0.755 0.252 Tb
0.917 0.588 0.749 Tb
0.083 0.412 0.251 Tb
0.588 0.917 0.749 Tb
0.000 0.000 0.000 Tl
```

=====

## TbSm2ErTl2 (PBE)

Data for a relaxed structure of TbSm2ErTl2.

Summary:
Energy of formation in meV/atom: -269
Theoretical density in g cm⁻³: 9.673
Magnetic moment in μB/cell: 0.0

```
TbSm2ErTl2
1.0
5.136 0.000 0.000
0.000 6.854 0.000
0.000 0.000 10.100
Sm Tl Tb Er
4 4 2 2
direct
0.000 0.830 0.814 Sm
0.000 0.330 0.186 Sm
0.500 0.554 0.957 Sm
0.500 0.054 0.043 Sm
0.000 0.798 0.142 Tl
0.000 0.298 0.858 Tl
0.500 0.220 0.372 Tl
0.500 0.720 0.628 Tl
0.000 0.962 0.458 Tb
0.000 0.462 0.542 Tb
0.500 0.680 0.315 Er
0.500 0.180 0.685 Er
```

=====

## TbSmEr2Tl2 (PBE)

Data for a relaxed structure of TbSmEr2Tl2.

Summary:
Energy of formation in meV/atom: -266
Theoretical density in g cm⁻³: 10.050
Magnetic moment in μB/cell: 0.0

```
TbSmEr2Tl2
1.0
-2.230 -4.302 1.620
2.222 -3.242 -5.548
8.394 -2.529 4.840
Tl Er Tb Sm
4 4 2 2
direct
0.000 0.798 0.131 Tl
0.000 0.298 0.869 Tl
0.500 0.217 0.361 Tl
0.500 0.717 0.639 Tl
0.000 0.336 0.183 Er
0.500 0.553 0.958 Er
0.500 0.053 0.042 Er
0.000 0.836 0.817 Er
0.500 0.682 0.310 Tb
0.500 0.182 0.690 Tb
0.000 0.460 0.541 Sm
0.000 0.960 0.459 Sm
```

=====

## Tb2SmErTl2 (PBE)

Data for a relaxed structure of Tb2SmErTl2.

Summary:
Energy of formation in meV/atom: -270
Theoretical density in g cm⁻³: 9.852
Magnetic moment in μB/cell: 0.0

```
Tb2SmErTl2
1.0
-3.180 -0.442 -3.992
3.328 -5.648 -2.026
-6.170 -5.621 5.537
Sm Tl Tb Er
2 4 4 2
direct
0.000 0.960 0.456 Sm
0.000 0.460 0.544 Sm
0.000 0.298 0.864 Tl
0.500 0.221 0.367 Tl
0.000 0.798 0.136 Tl
0.500 0.721 0.633 Tl
0.000 0.337 0.184 Tb
0.000 0.837 0.816 Tb
0.500 0.553 0.955 Tb
0.500 0.053 0.045 Tb
0.500 0.178 0.690 Er
0.500 0.678 0.310 Er
```